No. 1
La2ZnCl, relaxed, DFT PBE; uncorrected formation energy = -3.38 eV per formula unit; magnetic moment = 0.00 Bohr magnetons per cell; DOS at the Fermi energy = 1.1622 states/eV/atom; total energy = -16.36 eV/cell
1.0
-0.4827 -3.4079 1.6359
2.2627 -2.9122 -0.9603
6.2737 0.1820 6.6693
La Cl Zn
2 1 1
direct
0.0823 0.0823 0.7531
0.2509 0.2509 0.2474
0.5000 0.5000 0.5000
0.6668 0.6668 0.9995


No. 2
Tb3Al8Pd3, relaxed, DFT PBE; magnetic moment = 0.00 Bohr magnetons per cell; DOS at the Fermi energy = 0.4487 states/eV/atom; formation energy = -9.7 eV/f.u.; total energy = -69.10 eV/cell
1.0
-3.6632 1.1334 2.0473
-6.0110 -3.8796 -3.9930
-1.9485 -6.4304 4.6883
Tb Al Pd
3 8 3
direct
0.1884 0.8116 0.8116
0.8116 0.1884 0.1884
0.5000 0.5000 0.5000
0.6223 0.6609 0.0945
0.1631 0.4704 0.2033
0.6223 0.0945 0.6609
0.3777 0.3391 0.9055
0.3777 0.9055 0.3391
0.1631 0.2033 0.4704
0.8369 0.7967 0.5296
0.8369 0.5296 0.7967
0.0000 0.7899 0.2101
0.0000 0.2101 0.7899
0.5000 0.0000 0.0000


No. 3
FeMo2Cl, relaxed, DFT PBE; uncorrected formation energy = 3.67 eV per formula unit; magnetic moment = 2.40 Bohr magnetons per cell; DOS at the Fermi energy = 1.0011 states/eV/atom; total energy = -28.30 eV/cell
1.0
5.1257 0.0528 0.0000
2.3770 4.5415 0.0000
-3.7513 -2.2971 2.6317
Mo Cl Fe
2 1 1
direct
0.5000 0.5000 0.0000
0.0000 0.0000 0.0000
0.2500 0.7500 0.5000
0.7500 0.2500 0.5000